PBE with a Hubbard U RbCoO2F, relaxed; crystal system = tetragonal; E_tot = -3.00 eV per atom; D(E_F) = 1.533 states/eV/f.u.
1.0
-2.343 -3.505 1.065
0.549 -1.586 -4.011
3.990 -2.232 1.429
O Co F Rb
2 1 1 1
direct
0.000 0.500 0.000 O
0.500 0.000 0.000 O
0.500 0.500 0.500 Co
0.000 0.000 0.500 F
0.000 0.000 0.000 Rb

=====

PBE with a Hubbard U RbCoO2F, relaxed; crystal system = tetragonal; E_tot = -4.84 eV per atom; D(E_F) = 2.435 states/eV/f.u.
1.0
3.762 0.000 0.000
0.000 3.762 0.000
0.000 0.000 4.729
O Rb Co F
2 1 1 1
direct
0.500 0.000 0.000 O
0.000 0.500 0.000 O
0.500 0.500 0.500 Rb
0.000 0.000 0.000 Co
0.000 0.000 0.500 F

=====

PBE with a Hubbard U RbCoO2F, relaxed; crystal system = tetragonal; E_tot = -4.71 eV per atom; D(E_F) = 2.692 states/eV/f.u.
1.0
3.654 0.000 0.000
0.000 7.906 0.000
0.000 0.000 3.654
O Co F Rb
2 1 1 1
direct
0.500 0.000 0.000 O
0.000 0.000 0.500 O
0.000 0.000 0.000 Co
0.500 0.500 0.500 F
0.000 0.500 0.000 Rb